Dy3Sn3Pd2: relaxed, PBE.

Cell lengths 5.916, 8.417, 15.332 Å; angles 90.00, 90.00, 90.00 degrees
Positions (direct):
Dy (0.125, 0.468, 0.389)
Dy (0.625, 0.032, 0.611)
Dy (0.875, 0.532, 0.889)
Dy (0.375, 0.968, 0.111)
Dy (0.875, 0.532, 0.611)
Dy (0.375, 0.968, 0.389)
Dy (0.125, 0.468, 0.111)
Dy (0.625, 0.032, 0.889)
Dy (0.636, 0.326, 0.250)
Dy (0.136, 0.174, 0.750)
Dy (0.364, 0.674, 0.750)
Dy (0.864, 0.826, 0.250)
Sn (0.130, 0.187, 0.250)
Sn (0.630, 0.313, 0.750)
Sn (0.870, 0.813, 0.750)
Sn (0.370, 0.687, 0.250)
Sn (0.601, 0.301, 0.463)
Sn (0.101, 0.199, 0.537)
Sn (0.399, 0.699, 0.963)
Sn (0.899, 0.801, 0.037)
Sn (0.399, 0.699, 0.537)
Sn (0.899, 0.801, 0.463)
Sn (0.601, 0.301, 0.037)
Sn (0.101, 0.199, 0.963)
Pd (0.873, 0.085, 0.388)
Pd (0.373, 0.415, 0.612)
Pd (0.127, 0.915, 0.888)
Pd (0.627, 0.585, 0.112)
Pd (0.127, 0.915, 0.612)
Pd (0.627, 0.585, 0.388)
Pd (0.873, 0.085, 0.112)
Pd (0.373, 0.415, 0.888)

Computed properties:
* Fermi-level density of states: 3.62 states/eV/f.u.
* crystal system: orthorhombic
* space-group type: Pnma, No. 62
* spin magnetization: 0.00 μB per atom
* formation energy from the elements: -832 meV/atom
* calculated volume: 763.5 Å³ per cell


Dy2Sn2Pd7: relaxed, PBE.

Cell lengths 6.578, 5.579, 6.578 Å; angles 89.99, 95.19, 90.01 degrees
Positions (direct):
Dy (0.792, 0.500, 0.792)
Dy (0.208, 0.500, 0.208)
Sn (0.730, 0.001, 0.270)
Sn (0.270, 0.999, 0.730)
Pd (0.000, 0.255, 0.500)
Pd (0.500, 0.745, 0.000)
Pd (0.000, 0.745, 0.500)
Pd (0.500, 0.255, 0.000)
Pd (0.000, 0.000, 0.000)
Pd (0.500, 0.740, 0.500)
Pd (0.500, 0.260, 0.500)

Computed properties:
* Fermi-level density of states: 4.40 states/eV/f.u.
* crystal system: monoclinic
* space-group type: C2/m, No. 12
* spin magnetization: 0.00 μB per atom
* formation energy from the elements: -412 meV/atom
* calculated volume: 240.4 Å³ per cell


DySn4Pd15: relaxed, PBE.

Cell lengths 4.062, 4.062, 20.239 Å; angles 90.00, 90.00, 90.00 degrees
Positions (direct):
Dy (0.000, 0.000, 0.000)
Sn (0.000, 0.000, 0.202)
Sn (0.000, 0.000, 0.401)
Sn (0.000, 0.000, 0.599)
Sn (0.000, 0.000, 0.798)
Pd (0.500, 0.500, 0.000)
Pd (0.500, 0.500, 0.203)
Pd (0.500, 0.500, 0.401)
Pd (0.500, 0.500, 0.599)
Pd (0.500, 0.500, 0.797)
Pd (0.500, 0.000, 0.104)
Pd (0.500, 0.000, 0.301)
Pd (0.500, 0.000, 0.500)
Pd (0.500, 0.000, 0.699)
Pd (0.500, 0.000, 0.896)
Pd (0.000, 0.500, 0.104)
Pd (0.000, 0.500, 0.301)
Pd (0.000, 0.500, 0.500)
Pd (0.000, 0.500, 0.699)
Pd (0.000, 0.500, 0.896)

Computed properties:
* Fermi-level density of states: 4.35 states/eV/f.u.
* crystal system: tetragonal
* space-group type: P4/mmm, No. 123
* spin magnetization: 0.00 μB per atom
* formation energy from the elements: -581 meV/atom
* calculated volume: 334.0 Å³ per cell


DySnPd5: relaxed, PBE.

Cell lengths 4.122, 4.122, 7.590 Å; angles 90.00, 90.00, 90.00 degrees
Positions (direct):
Dy (0.000, 0.000, 0.500)
Sn (0.500, 0.500, 0.000)
Pd (0.000, 0.500, 0.773)
Pd (0.000, 0.500, 0.227)
Pd (0.500, 0.000, 0.773)
Pd (0.500, 0.000, 0.227)
Pd (0.500, 0.500, 0.500)

Computed properties:
* Fermi-level density of states: 1.51 states/eV/f.u.
* crystal system: tetragonal
* space-group type: P4/mmm, No. 123
* relative energy among the computed polymorphs: 0.00 kJ/mol of atoms
* spin magnetization: 0.00 μB per atom
* formation energy from the elements: -710 meV/atom
* calculated volume: 129.0 Å³ per cell


DySnPd2: relaxed, PBE.

Cell lengths 3.732, 4.625, 4.625 Å; angles 90.00, 90.00, 90.00 degrees
Positions (direct):
Sn (0.500, 0.000, 0.000)
Pd (0.000, 0.000, 0.500)
Pd (0.000, 0.500, 0.000)
Dy (0.500, 0.500, 0.500)

Computed properties:
* Fermi-level density of states: 2.95 states/eV/f.u.
* crystal system: tetragonal
* space-group type: P4/mmm, No. 123
* spin magnetization: 0.00 μB per atom
* formation energy from the elements: -749 meV/atom
* calculated volume: 79.8 Å³ per cell


Dy2Sn5Pd12: relaxed, PBE.

Cell lengths 8.298, 7.702, 6.788 Å; angles 89.58, 90.00, 122.59 degrees
Positions (direct):
Dy (0.774, 0.000, 0.000)
Dy (0.226, 0.000, 0.000)
Sn (0.235, 0.470, 0.545)
Sn (0.337, 0.673, 0.124)
Sn (0.000, 0.000, 0.500)
Sn (0.663, 0.327, 0.876)
Sn (0.765, 0.530, 0.455)
Pd (0.128, 0.257, 0.194)
Pd (0.091, 0.574, 0.825)
Pd (0.483, 0.574, 0.825)
Pd (0.170, 0.778, 0.430)
Pd (0.608, 0.778, 0.430)
Pd (0.463, 0.926, 0.732)
Pd (0.537, 0.074, 0.268)
Pd (0.830, 0.222, 0.570)
Pd (0.392, 0.222, 0.570)
Pd (0.909, 0.426, 0.175)
Pd (0.517, 0.426, 0.175)
Pd (0.872, 0.743, 0.806)

Computed properties:
* Fermi-level density of states: 7.71 states/eV/f.u.
* crystal system: monoclinic
* space-group type: C2/m, No. 12
* spin magnetization: 0.00 μB per atom
* formation energy from the elements: -500 meV/atom
* calculated volume: 365.5 Å³ per cell


DySn2Pd8: relaxed, PBE.

Cell lengths 4.839, 7.239, 7.239 Å; angles 117.69, 103.87, 103.87 degrees
Positions (direct):
Dy (0.500, 0.000, 0.000)
Sn (0.000, 0.310, 0.690)
Sn (0.000, 0.690, 0.310)
Pd (0.871, 0.910, 0.678)
Pd (0.871, 0.678, 0.910)
Pd (0.315, 0.588, 0.588)
Pd (0.500, 0.777, 0.223)
Pd (0.500, 0.223, 0.777)
Pd (0.685, 0.412, 0.412)
Pd (0.129, 0.322, 0.090)
Pd (0.129, 0.090, 0.322)

Computed properties:
* Fermi-level density of states: 3.98 states/eV/f.u.
* crystal system: monoclinic
* space-group type: C2/m, No. 12
* spin magnetization: 0.00 μB per atom
* formation energy from the elements: -492 meV/atom
* calculated volume: 199.0 Å³ per cell


Dy3Sn2Pd: relaxed, PBE.

Cell lengths 4.530, 11.508, 12.141 Å; angles 90.00, 90.00, 90.00 degrees
Positions (direct):
Dy (0.250, 0.371, 0.051)
Dy (0.750, 0.629, 0.949)
Dy (0.750, 0.871, 0.449)
Dy (0.250, 0.129, 0.551)
Dy (0.250, 0.699, 0.231)
Dy (0.750, 0.301, 0.769)
Dy (0.750, 0.199, 0.269)
Dy (0.250, 0.801, 0.731)
Dy (0.250, 0.442, 0.374)
Dy (0.750, 0.558, 0.626)
Dy (0.750, 0.942, 0.126)
Dy (0.250, 0.058, 0.874)
Sn (0.250, 0.689, 0.497)
Sn (0.750, 0.311, 0.503)
Sn (0.750, 0.189, 0.003)
Sn (0.250, 0.811, 0.997)
Sn (0.250, 0.993, 0.314)
Sn (0.750, 0.007, 0.686)
Sn (0.750, 0.493, 0.186)
Sn (0.250, 0.507, 0.814)
Pd (0.250, 0.126, 0.124)
Pd (0.750, 0.874, 0.876)
Pd (0.750, 0.626, 0.376)
Pd (0.250, 0.374, 0.624)

Computed properties:
* Fermi-level density of states: 3.85 states/eV/f.u.
* crystal system: orthorhombic
* space-group type: Pnma, No. 62
* spin magnetization: 0.00 μB per atom
* formation energy from the elements: -801 meV/atom
* calculated volume: 632.9 Å³ per cell


DySn2Pd7: relaxed, PBE.

Cell lengths 4.470, 7.648, 7.648 Å; angles 122.31, 90.00, 90.00 degrees
Positions (direct):
Dy (0.000, 0.000, 0.000)
Sn (0.500, 0.698, 0.302)
Sn (0.500, 0.302, 0.698)
Pd (0.000, 0.796, 0.204)
Pd (0.000, 0.204, 0.796)
Pd (0.500, 0.074, 0.290)
Pd (0.500, 0.926, 0.710)
Pd (0.500, 0.290, 0.074)
Pd (0.500, 0.710, 0.926)
Pd (0.500, 0.500, 0.500)

Computed properties:
* Fermi-level density of states: 3.19 states/eV/f.u.
* crystal system: orthorhombic
* space-group type: Cmmm, No. 65
* relative energy among the computed polymorphs: 32.47 kJ/mol of atoms
* spin magnetization: 0.00 μB per atom
* formation energy from the elements: -267 meV/atom
* calculated volume: 221.0 Å³ per cell


Dy2SnPd: relaxed, PBE.

Cell lengths 3.862, 3.862, 8.536 Å; angles 76.93, 76.93, 60.00 degrees
Positions (direct):
Sn (0.500, 0.500, 0.500)
Pd (0.000, 0.000, 0.000)
Dy (0.262, 0.262, 0.215)
Dy (0.738, 0.738, 0.785)

Computed properties:
* Fermi-level density of states: 2.62 states/eV/f.u.
* crystal system: trigonal
* space-group type: R-3m, No. 166
* spin magnetization: 0.00 μB per atom
* formation energy from the elements: -597 meV/atom
* calculated volume: 106.4 Å³ per cell


DySnPd: relaxed, PBE.

Cell lengths 3.521, 4.689, 4.689 Å; angles 120.00, 90.00, 90.00 degrees
Positions (direct):
Sn (0.167, 0.000, 0.000)
Pd (0.166, 0.333, 0.667)
Dy (0.667, 0.667, 0.333)

Computed properties:
* Fermi-level density of states: 2.17 states/eV/f.u.
* crystal system: hexagonal
* space-group type: P-6m2, No. 187
* spin magnetization: 0.00 μB per atom
* formation energy from the elements: -873 meV/atom
* calculated volume: 67.1 Å³ per cell